1.
The following is a DFT calculation (PBE) of a relaxed structure of Pm4SmPt2.

Cell: 7.937 6.604 8.283 Å, 90.00 113.49 90.00°
Fractional coordinates of all 14 atoms:
Pm  0.012  0.250  0.383
Pm  0.251  0.750  0.350
Pm  0.411  0.009  0.769
Pm  0.411  0.491  0.769
Pm  0.589  0.509  0.231
Pm  0.589  0.991  0.231
Pm  0.749  0.250  0.650
Pm  0.988  0.750  0.617
Sm  0.151  0.250  0.027
Sm  0.849  0.750  0.973
Pt  0.239  0.750  0.993
Pt  0.373  0.250  0.405
Pt  0.627  0.750  0.595
Pt  0.761  0.250  0.007

Output
* mass density: 9.346 g cm⁻³
* energy of formation: -0.61 eV per atom
* N(E_F): 8.22 states/eV/f.u.
* polymorph energy (0 for the lowest one): 0.031 eV per atom


2.
The following is a DFT calculation (PBE) of a relaxed structure of LaHg2RhPb.

Cell: 5.311 5.311 5.152 Å, 90.00 90.00 90.00°
Fractional coordinates of all 5 atoms:
La  0.000  0.000  0.000
Hg  0.000  0.500  0.500
Hg  0.500  0.000  0.500
Rh  0.000  0.000  0.500
Pb  0.500  0.500  0.000

Output
* mass density: 9.714 g cm⁻³
* energy of formation: -0.23 eV per atom
* N(E_F): 4.20 states/eV/f.u.


3.
The following is a DFT calculation (PBE) of a relaxed structure of Nb3IN.

Cell: 5.011 5.011 5.011 Å, 90.00 90.00 90.00°
Fractional coordinates of all 5 atoms:
Nb  0.000  0.000  0.500
Nb  0.000  0.500  0.000
Nb  0.500  0.000  0.000
I  0.000  0.000  0.000
N  0.500  0.500  0.500

Output
* mass density: 5.539 g cm⁻³
* formation energy from raw total energies: 2.833 eV/atom
* N(E_F): 7.28 states/eV/f.u.
* polymorph energy (0 for the lowest one): 2.740 eV per atom


4.
The following is a DFT calculation (PBE) of a relaxed structure of Ca2Sc2Sb2H.

Cell: 8.803 8.803 8.803 Å, 150.66 150.66 41.97°
Fractional coordinates of all 7 atoms:
Ca  0.173  0.173  0.000
Ca  0.827  0.827  0.000
Sc  0.000  0.500  0.500
Sc  0.500  0.000  0.500
Sb  0.371  0.371  0.000
Sb  0.629  0.629  0.000
H  0.000  0.000  0.000

Output
* mass density: 4.213 g cm⁻³
* N(E_F): 4.19 states/eV/f.u.
* E_tot: -34.146 eV per cell


5.
The following is a DFT calculation (PBE) of a relaxed structure of NdY4Sc.

Cell: 5.933 5.933 11.341 Å, 116.91 116.91 33.71°
Fractional coordinates of all 6 atoms:
Nd  0.000  0.000  0.000
Y  0.157  0.157  0.349
Y  0.346  0.346  0.164
Y  0.654  0.654  0.836
Y  0.843  0.843  0.651
Sc  0.500  0.500  0.500

Output
* mass density: 4.634 g cm⁻³
* energy of formation: 0.20 eV per atom
* N(E_F): 12.77 states/eV/f.u.
* polymorph energy (0 for the lowest one): 0.000 eV per atom


6.
The following is a DFT calculation (PBE) of a relaxed structure of BaZn2Cd.

Cell: 5.338 5.338 5.338 Å, 120.77 120.77 88.66°
Fractional coordinates of all 4 atoms:
Ba  0.000  0.000  0.000
Zn  0.500  0.500  0.000
Zn  0.750  0.250  0.500
Cd  0.250  0.750  0.500

Output
* mass density: 5.948 g cm⁻³
* energy of formation: -0.03 eV per atom
* N(E_F): 3.46 states/eV/f.u.


> What is the formula in the second record?

LaHg2RhPb